P) Compound: CoPAuO
Source: OQMD
Functional: PBE with a Hubbard U
Structure: relaxed

```
CoPAuO
1.0
3.772 0.000 0.000
0.000 3.772 0.000
0.000 0.000 6.976
Co P Au O
2 2 2 2
Direct
0.250 0.750 0.000
0.750 0.250 0.000
0.250 0.250 0.163
0.750 0.750 0.837
0.250 0.250 0.682
0.750 0.750 0.318
0.250 0.750 0.500
0.750 0.250 0.500
```



Q) Compound: CoPAuO
Source: OQMD
Functional: PBE with a Hubbard U
Structure: relaxed

```
CoPAuO
1.0
4.021 0.000 0.000
0.000 4.021 0.000
0.000 0.000 8.291
Co P Au O
2 2 2 2
Direct
0.250 0.250 0.049
0.750 0.750 0.951
0.250 0.250 0.321
0.750 0.750 0.679
0.250 0.750 0.500
0.750 0.250 0.500
0.250 0.750 0.000
0.750 0.250 0.000
```



Stability, lowest: P)